VASP calculation (PBE with a Hubbard U) on a relaxed structure of CdMo3O.

Calculated values
As for the excess energy over the best structure of this formula in the dataset: 1.5412 eV per atom. As for the symmetry: Pm-3m.

Cell: 5.509 5.509 5.509 Å, 90.00 90.00 90.00°
Last column: magnetic moment on the atom in μB.
Fractional positions:
Mo (0.000, 0.000, 0.500)  4.09
Mo (0.500, 0.000, 0.000)  3.89
Mo (0.000, 0.500, 0.000)  4.02
Cd (0.000, 0.000, 0.000)  0.06
O (0.500, 0.500, 0.500)  -0.88